A PBEsol-optimized structure of Cs2NaPrI6, computed with SCAN.

Properties
Raw formation energy: -16.25 eV/f.u.
DOS(E_F): 0.00 states/eV/cell
M_tot: 0.00 μB per cell

```
Cs2NaPrI6
1.0
8.679 0.000 0.000
4.339 7.516 0.000
4.339 2.505 7.086
Cs Na Pr I
2 1 1 6
direct
0.750 0.750 0.750 Cs
0.250 0.250 0.250 Cs
0.500 0.500 0.500 Na
0.000 0.000 0.000 Pr
0.749 0.251 0.251 I
0.749 0.749 0.251 I
0.251 0.749 0.749 I
0.749 0.251 0.749 I
0.251 0.749 0.251 I
0.251 0.251 0.749 I
```